A relaxed NiHF2 crystal, computed with GGA+U.

The structure in POSCAR format:
```
NiHF2
1.0
2.427 -1.106 2.450
-0.681 -2.917 2.034
1.857 -3.061 -0.544
F Ni H
2 1 1
Cartesian
0.901 -1.771 0.985
2.702 -5.313 2.955
1.801 -3.542 1.970
0.000 0.000 0.000
```

VASP energy   -0.0989 hartree per atom
Energy above the lowest structure with this stoichiometry   0.756 eV/atom
Space group   Fm-3m